# 1
UPd6Pt: optimized geometry, PBE.

a = 5.695 Å, b = 5.695 Å, c = 4.038 Å
α = 90.00°, β = 90.00°, γ = 90.00°
Element x y z (fractional)
U  0.000  0.000  0.000
Pd  0.000  0.500  0.000
Pd  0.249  0.249  0.500
Pd  0.249  0.751  0.500
Pd  0.500  0.000  0.000
Pd  0.751  0.249  0.500
Pd  0.751  0.751  0.500
Pt  0.500  0.500  0.000

Results
* energy: -0.4725 Ry/atom
* energy of formation from the pure elements: -0.368 eV/atom
* energy above the lowest structure with this stoichiometry: 0.000 eV per atom
* space-group type: P4/mmm, No. 123

=====

# 2
ZnTcSe2: optimized geometry, PBE.

a = 3.126 Å, b = 4.505 Å, c = 6.118 Å
α = 69.80°, β = 85.85°, γ = 73.42°
Element x y z (fractional)
Zn  0.000  0.000  0.000
Tc  0.559  0.115  0.596
Se  0.007  0.352  0.259
Se  0.249  0.647  0.685

Results
* ΔE_f (raw): -0.09 eV/atom
* energy: -0.3488 Ry/atom
* energy above the lowest structure with this stoichiometry: 0.186 eV per atom
* space-group type: P1, No. 1